i | Er4CdPt: optimized geometry, GGA-PBE.

Calculated values
Its space group is F-43m (216). The calculation puts the volume at 624.3 Å³/cell.

```
24
Lattice="9.5933 0.0000 0.0000 4.7967 8.3080 0.0000 4.7967 2.7693 7.8329" Properties=species:S:1:pos:R:3 pbc="T T T"
Er 6.7680 3.9075 2.7630
Er 9.5933 5.5387 7.3767
Er 9.5933 8.8010 2.7630
Er 12.4186 3.9075 2.7630
Er 9.5933 2.1049 1.4884
Er 9.5933 8.9725 6.3445
Er 6.6195 7.2556 1.4884
Er 12.5671 3.8218 6.3445
Er 6.6195 3.8218 6.3445
Er 12.5671 7.2556 1.4884
Er 14.3900 6.2547 4.4228
Er 14.3900 10.3614 7.3266
Er 12.6117 9.3347 4.4228
Er 16.1682 7.2814 7.3266
Er 12.6117 7.2814 7.3266
Er 16.1682 9.3347 4.4228
Cd 11.1724 6.4504 4.5611
Cd 9.5933 5.5387 1.9824
Cd 9.5933 3.7153 4.5611
Cd 8.0142 6.4504 4.5611
Pt 2.7519 1.5888 1.1234
Pt 4.7966 2.7693 4.4626
Pt 4.7966 5.1305 1.1234
Pt 6.8414 1.5888 1.1234
```

ii | Er4CdPt: optimized geometry, GGA-PBE.

Calculated values
Its space group is P2_1/c (14). The calculation puts the volume at 355.9 Å³/cell.

```
12
Lattice="6.9328 0.0000 -0.1185 0.0000 7.0199 0.0000 -0.2159 0.0000 7.3174" Properties=species:S:1:pos:R:3 pbc="T T T"
Er 6.0373 4.5121 1.1829
Er 4.1460 1.0021 5.9568
Er 2.1901 2.4006 2.5753
Er 1.0604 5.9106 4.6830
Er 0.6796 2.5078 6.0161
Er 2.5709 6.0178 1.2421
Er 4.5268 4.6193 4.6237
Er 5.6565 1.1093 2.5160
Cd 0.0000 0.0000 0.0000
Cd 3.4664 3.5099 -0.0592
Pt 3.3584 0.0000 3.5995
Pt -0.1080 3.5099 3.6587
```

Least stable: ii

i | ErPuCd2: optimized geometry, GGA-PBE.

Calculated values
Its space group is Fm-3m (225). The calculation puts the volume at 105.4 Å³/cell.

```
4
Lattice="5.3029 0.0000 0.0000 2.6515 4.5925 0.0000 2.6515 1.5308 4.3298" Properties=species:S:1:pos:R:3 pbc="T T T"
Cd 2.6515 1.5308 1.0825
Cd 7.9544 4.5925 3.2474
Er 0.0000 0.0000 0.0000
Pu 5.3029 3.0616 2.1649
```

ii | ErPuCd2: optimized geometry, GGA-PBE.

Calculated values
Its space group is P4/mmm (123). The calculation puts the volume at 105.2 Å³/cell.

```
4
Lattice="3.5622 0.0000 0.0000 0.0000 5.4356 0.0000 0.0000 0.0000 5.4356" Properties=species:S:1:pos:R:3 pbc="T T T"
Cd 0.0000 0.0000 2.7178
Cd 0.0000 2.7178 0.0000
Er 1.7811 0.0000 0.0000
Pu 1.7811 2.7178 2.7178
```

iii | ErPuCd2: optimized geometry, GGA-PBE.

Calculated values
Its space group is P4/mmm (123). The calculation puts the volume at 100.3 Å³/cell.

```
4
Lattice="-3.1835 0.6706 -0.1574 0.0228 -0.6412 -3.1933 -1.9978 -9.0597 1.8050" Properties=species:S:1:pos:R:3 pbc="T T T"
Cd -1.5134 -6.8630 1.3673
Cd -0.4844 -2.1967 0.4376
Er -1.5804 0.0147 -1.6753
Pu -2.5792 -4.5152 -0.7729
```

Least stable: i

i | ErPuCd4: optimized geometry, GGA-PBE.

Calculated values
Its space group is F-43m (216). The calculation puts the volume at 146.6 Å³/cell.

```
6
Lattice="5.9187 0.0000 0.0000 2.9593 5.1257 0.0000 2.9593 1.7086 4.8326" Properties=species:S:1:pos:R:3 pbc="T T T"
Cd 5.9187 3.4171 0.6028
Cd 5.9187 1.7074 3.0208
Cd 7.3994 4.2720 3.0208
Cd 4.4380 4.2720 3.0208
Er 0.0000 0.0000 0.0000
Pu 2.9593 1.7086 1.2081
```

ii | ErPuCd4: optimized geometry, GGA-PBE.

Calculated values
Its space group is Cmcm (63). The calculation puts the volume at 292.0 Å³/cell.

```
12
Lattice="-0.7332 -2.1458 -4.5357 -5.2339 -3.2018 2.3608 -7.7631 5.0905 -1.1534" Properties=species:S:1:pos:R:3 pbc="T T T"
Er -3.1303 -0.7559 -3.3884
Er -10.5998 0.4988 0.0601
Pu -5.7568 -2.3444 -2.2123
Pu -7.9733 2.0873 -1.1160
Cd -7.5729 -0.9502 0.2563
Cd -5.8521 -3.1805 1.0333
Cd -8.7898 -0.9174 -2.3972
Cd -10.5031 1.3175 -3.1776
Cd -6.1573 0.6931 -3.5846
Cd -4.9403 0.6603 -0.9311
Cd -7.8781 2.9234 -4.3616
Cd -3.2271 -1.5747 -0.1507
```

Least stable: i